(1)
A plane-wave DFT calculation with PBE-GGA was carried out for an optimized crystal structure of ErCuSi.

Geometry as POSCAR:
```
ErCuSi
1.0
0.0000 3.2182 3.2182
3.2182 0.0000 3.2182
3.2182 3.2182 0.0000
Er Cu Si
1 1 1
direct
0.0000 0.0000 0.0000
0.7500 0.7500 0.7500
0.2500 0.2500 0.2500
```

As for the total energy: -4.350 eV/atom. As for the total magnetization: 0.00 μB per formula unit. Its mass density is 6.45 Mg/m³.


(2)
A plane-wave DFT calculation with PBE-GGA was carried out for an optimized crystal structure of RbLu2Cu3TeS4.

Geometry as POSCAR:
```
RbLu2Cu3TeS4
1.0
1.9929 -6.9746 0.0000
1.9929 6.9746 0.0000
0.0000 0.0000 16.8938
Rb Lu Cu Te S
2 4 6 2 8
direct
0.0490 0.9510 0.7500
0.9510 0.0490 0.2500
0.1876 0.8124 0.0847
0.1876 0.8124 0.4153
0.8124 0.1876 0.5847
0.8124 0.1876 0.9153
0.3587 0.6413 0.7500
0.4161 0.5839 0.0386
0.4161 0.5839 0.4614
0.5839 0.4161 0.5386
0.5839 0.4161 0.9614
0.6413 0.3587 0.2500
0.2513 0.7487 0.2500
0.7487 0.2513 0.7500
0.1707 0.8293 0.5690
0.1707 0.8293 0.9310
0.4371 0.5629 0.6094
0.4371 0.5629 0.8906
0.5629 0.4371 0.1094
0.5629 0.4371 0.3906
0.8293 0.1707 0.0690
0.8293 0.1707 0.4310
```

As for the total energy: -4.812 eV/atom. As for the total magnetization: 0.00 μB per formula unit. Its mass density is 6.24 Mg/m³.


(3)
A plane-wave DFT calculation with PBE-GGA was carried out for an optimized crystal structure of CsCuTcIr.

Geometry as POSCAR:
```
CsCuTcIr
1.0
0.0000 3.3118 3.3118
3.3118 0.0000 3.3118
3.3118 3.3118 0.0000
Cs Cu Tc Ir
1 1 1 1
direct
0.0000 0.0000 0.0000
0.7500 0.7500 0.7500
0.2500 0.2500 0.2500
0.5000 0.5000 0.5000
```

As for the total energy: -4.449 eV/atom. As for the total magnetization: 0.03 μB per formula unit. The value obtained for the energy above the lowest structure with this stoichiometry is 0 kJ/mol of formula units. Its mass density is 11.12 Mg/m³.


(4)
A plane-wave DFT calculation with PBE-GGA was carried out for an optimized crystal structure of SiIrNO.

Geometry as POSCAR:
```
SiIrNO
1.0
3.7294 0.0000 0.0000
0.0000 3.7294 0.0000
0.0000 0.0000 6.4497
Si Ir N O
2 2 2 2
direct
0.2500 0.7500 0.0000
0.7500 0.2500 0.0000
0.2500 0.2500 0.3166
0.7500 0.7500 0.6834
0.2500 0.2500 0.9912
0.7500 0.7500 0.0088
0.2500 0.7500 0.5000
0.7500 0.2500 0.5000
```

As for the total energy: -6.461 eV/atom. As for the total magnetization: 0.00 μB per formula unit. The value obtained for the energy above the lowest structure with this stoichiometry is 521 kJ/mol of formula units. Its mass density is 9.27 Mg/m³.


(5)
A plane-wave DFT calculation with PBE-GGA was carried out for an optimized crystal structure of CsLa2CuTeSe3.

Geometry as POSCAR:
```
CsLa2CuTeSe3
1.0
2.2000 -7.6899 0.0000
2.2000 7.6899 0.0000
0.0000 0.0000 15.2177
Cs La Cu Te Se
2 4 2 2 6
direct
0.1183 0.8817 0.7500
0.8817 0.1183 0.2500
0.3657 0.6343 0.5537
0.3657 0.6343 0.9463
0.6343 0.3657 0.0537
0.6343 0.3657 0.4463
0.1674 0.8326 0.2500
0.8326 0.1674 0.7500
0.4275 0.5725 0.7500
0.5725 0.4275 0.2500
0.0000 0.0000 0.0000
0.0000 0.0000 0.5000
0.2548 0.7452 0.1096
0.2548 0.7452 0.3904
0.7452 0.2548 0.6096
0.7452 0.2548 0.8904
```

As for the total energy: -5.016 eV/atom. As for the total magnetization: 0.01 μB per formula unit. The value obtained for the energy above the lowest structure with this stoichiometry is 10 kJ/mol of formula units. Its mass density is 5.41 Mg/m³.


(6)
A plane-wave DFT calculation with PBE-GGA was carried out for an optimized crystal structure of RbCuNi.

Geometry as POSCAR:
```
RbCuNi
1.0
0.0000 3.3765 3.3765
3.3765 0.0000 3.3765
3.3765 3.3765 0.0000
Rb Cu Ni
1 1 1
direct
0.0000 0.0000 0.0000
0.7500 0.7500 0.7500
0.5000 0.5000 0.5000
```

As for the total energy: -2.279 eV/atom. As for the total magnetization: 0.00 μB per formula unit. The value obtained for the energy above the lowest structure with this stoichiometry is 13 kJ/mol of formula units. Its mass density is 4.48 Mg/m³.


(7)
A plane-wave DFT calculation with PBE-GGA was carried out for an optimized crystal structure of RbSmAgTe3.

Geometry as POSCAR:
```
RbSmAgTe3
1.0
2.1776 -8.4242 0.0000
2.1776 8.4242 0.0000
0.0000 0.0000 11.5356
Rb Sm Ag Te
2 2 2 6
direct
0.2482 0.7518 0.7500
0.7518 0.2482 0.2500
0.0000 0.0000 0.0000
0.0000 0.0000 0.5000
0.4650 0.5350 0.2500
0.5350 0.4650 0.7500
0.0737 0.9263 0.2500
0.3702 0.6298 0.0512
0.3702 0.6298 0.4488
0.6298 0.3702 0.5512
0.6298 0.3702 0.9488
0.9263 0.0737 0.7500
```

As for the total energy: -3.908 eV/atom. As for the total magnetization: 0.01 μB per formula unit. Its mass density is 5.70 Mg/m³.


(8)
A plane-wave DFT calculation with PBE-GGA was carried out for an optimized crystal structure of NaHfSnIr.

Geometry as POSCAR:
```
NaHfSnIr
1.0
0.0000 3.3733 3.3733
3.3733 0.0000 3.3733
3.3733 3.3733 0.0000
Na Hf Sn Ir
1 1 1 1
direct
0.0000 0.0000 0.0000
0.5000 0.5000 0.5000
0.2500 0.2500 0.2500
0.7500 0.7500 0.7500
```

As for the total energy: -6.142 eV/atom. As for the total magnetization: 0.00 μB per formula unit. The value obtained for the energy above the lowest structure with this stoichiometry is 107 kJ/mol of formula units. Its mass density is 11.08 Mg/m³.


Question: Which of these has the highest total magnetization?
Answer: CsCuTcIr